(1)
VASP calculation (PBE) on an optimized crystal structure of Y2AgRuW.

Unit cell a=5.283 b=4.807 c=5.283 alpha=90.00 beta=90.00 gamma=90.00
Each line ends with the local moment (μB).
Element x y z (fractional)
Y 0.000 0.000 0.500  0.02
Y 0.500 0.000 0.000  -0.03
Ru 0.000 0.500 0.000  0.32
Ag 0.000 0.000 0.000  0.02
W 0.500 0.500 0.500  2.35

***

(2)
VASP calculation (PBE) on an optimized crystal structure of YAgRu2.

Unit cell a=5.533 b=5.533 c=4.827 alpha=64.25 beta=64.25 gamma=32.94
Each line ends with the local moment (μB).
Element x y z (fractional)
Ag 0.263 0.263 0.282  0.02
Ru 0.016 0.016 0.924  0.22
Ru 0.730 0.730 0.825  0.48
Y 0.491 0.491 0.469  -0.03

Computed properties:
The calculation puts the energy above the most stable polymorph in this dataset at 0.26 eV/f.u.

***

(3)
VASP calculation (PBE) on an optimized crystal structure of YAgRu2.

Unit cell a=4.992 b=4.992 c=5.050 alpha=76.77 beta=76.77 gamma=36.42
Element x y z (fractional)
Ag 0.250 0.250 0.250
Ru 0.996 0.996 0.042
Ru 0.504 0.504 0.458
Y 0.750 0.750 0.750

Computed properties:
The calculation puts the energy above the most stable polymorph in this dataset at 0.64 eV/f.u.

***

no.,E_tot (eV per atom),energy of formation (eV per atom)
1,-6.0676,1.53
2,-6.7839,0.18
3,-6.6894,0.28